Here is MgMnTe2Pb after structural relaxation from Alexandria. Energies are from PBE-GGA.

abc: 5.144 5.144 5.123
angles: 90.00 90.00 90.00
Sites, in units of the cell vectors:
Mg: 0.000 0.000 0.000
Mn: 0.500 0.500 0.500
Te: 0.000 0.500 0.500
Te: 0.500 0.000 0.500
Pb: 0.500 0.500 0.000

Properties
ρ	6637	kg/m³
D(E_F)	1.18	states/eV per atom
formation energy without anion corrections	0.35	eV/atom
space group	P4/mmm, No. 123